# 1
Material: LaTbGePt
Method: DFT, GGA-PBE
State: optimized geometry

Lattice parameters (Å, degrees): 5.152 5.152 5.152 60.00 60.00 60.00
Fractional positions:
La1 0.000 0.000 0.000
Pt1 0.250 0.250 0.250
Ge1 0.750 0.750 0.750
Tb1 0.500 0.500 0.500

**Density of states at the Fermi level**: 1.575 states/eV/f.u.
**SG**: F-43m
**Energy of formation from the pure elements**: -339 kJ/mol of formula units
**Volume**: 24.168 A^3/atom
**E above lowest polymorph**: 0.000 eV/atom

# 2
Material: La2TbGe3Pt12
Method: DFT, GGA-PBE
State: optimized geometry

Lattice parameters (Å, degrees): 7.859 7.859 7.859 64.93 64.93 64.93
Fractional positions:
Tb1 0.000 0.000 0.000
Ge1 0.500 0.000 0.000
Ge2 0.000 0.500 0.000
Ge3 0.000 0.000 0.500
Pt1 0.642 0.094 0.642
Pt2 0.149 0.149 0.603
Pt3 0.358 0.906 0.358
Pt4 0.094 0.642 0.642
Pt5 0.358 0.358 0.906
Pt6 0.149 0.603 0.149
Pt7 0.851 0.851 0.397
Pt8 0.642 0.642 0.094
Pt9 0.906 0.358 0.358
Pt10 0.851 0.397 0.851
Pt11 0.397 0.851 0.851
Pt12 0.603 0.149 0.149
La1 0.400 0.400 0.400
La2 0.600 0.600 0.600

**Density of states at the Fermi level**: 7.735 states/eV/f.u.
**SG**: R-3m
**Energy of formation from the pure elements**: -745 kJ/mol of formula units
**Volume**: 21.122 A^3/atom

# 3
Material: LaTbGePt
Method: DFT, GGA-PBE
State: optimized geometry

Lattice parameters (Å, degrees): 4.693 4.693 10.315 90.00 90.00 90.00
Fractional positions:
La1 0.500 0.000 0.167
La2 0.000 0.500 0.833
Tb1 0.000 0.000 0.500
Tb2 0.500 0.500 0.500
Pt1 0.000 0.500 0.346
Pt2 0.500 0.000 0.654
Ge1 0.000 0.500 0.115
Ge2 0.500 0.000 0.885

**Density of states at the Fermi level**: 2.891 states/eV/f.u.
**SG**: P4/nmm
**Energy of formation from the pure elements**: -301 kJ/mol of formula units
**Volume**: 28.394 A^3/atom
**E above lowest polymorph**: 0.100 eV/atom

# 4
Material: LaTb2Ge2Pt7
Method: DFT, GGA-PBE
State: optimized geometry

Lattice parameters (Å, degrees): 4.122 4.122 14.162 83.34 83.34 88.96
Fractional positions:
La1 0.000 0.000 0.000
Pt1 0.067 0.566 0.837
Pt2 0.933 0.434 0.163
Pt3 0.365 0.365 0.434
Pt4 0.434 0.933 0.163
Pt5 0.635 0.635 0.566
Pt6 0.566 0.067 0.837
Pt7 0.500 0.500 0.000
Ge1 0.395 0.395 0.262
Ge2 0.605 0.605 0.738
Tb1 0.123 0.123 0.639
Tb2 0.877 0.877 0.361

**Density of states at the Fermi level**: 5.799 states/eV/f.u.
**SG**: C2/m
**Energy of formation from the pure elements**: -1060 kJ/mol of formula units
**Volume**: 19.783 A^3/atom

# 5
Material: La2TcGe6Pt
Method: DFT, GGA-PBE
State: optimized geometry

Lattice parameters (Å, degrees): 6.447 7.865 8.683 90.00 90.00 90.00
Fractional positions:
Tc1 0.000 0.833 0.000
Tc2 0.500 0.167 0.500
Ge1 0.000 0.821 0.283
Ge2 0.312 0.450 0.500
Ge3 0.500 0.179 0.783
Ge4 0.793 0.970 0.500
Ge5 0.207 0.970 0.500
Ge6 0.293 0.030 0.000
Ge7 0.500 0.179 0.217
Ge8 0.688 0.450 0.500
Ge9 0.812 0.550 0.000
Ge10 0.707 0.030 0.000
Ge11 0.000 0.821 0.717
Ge12 0.188 0.550 0.000
Pt1 0.500 0.391 0.000
Pt2 0.000 0.609 0.500
La1 0.500 0.753 0.748
La2 0.000 0.247 0.248
La3 0.000 0.247 0.752
La4 0.500 0.753 0.252

**Density of states at the Fermi level**: 4.871 states/eV/f.u.
**SG**: Pmmn
**Energy of formation from the pure elements**: -418 kJ/mol of formula units
**Volume**: 22.016 A^3/atom

# 6
Material: LaTcGe2Pt
Method: DFT, GGA-PBE
State: optimized geometry

Lattice parameters (Å, degrees): 4.737 5.377 4.737 90.00 90.00 90.00
Fractional positions:
Ge1 0.000 0.000 0.500
Ge2 0.500 0.000 0.000
La1 0.000 0.500 0.000
Pt1 0.500 0.500 0.500
Tc1 0.000 0.000 0.000

**Density of states at the Fermi level**: 1.534 states/eV/f.u.
**SG**: P4/mmm
**Energy of formation from the pure elements**: -15 kJ/mol of formula units
**Volume**: 24.132 A^3/atom

# 7
Material: LaThGe2Pt5
Method: DFT, GGA-PBE
State: optimized geometry

Lattice parameters (Å, degrees): 4.452 4.452 8.838 90.00 90.00 90.00
Fractional positions:
Pt1 0.500 0.000 0.265
Pt2 0.000 0.500 0.735
Pt3 0.500 0.000 0.735
Pt4 0.000 0.500 0.265
Pt5 0.500 0.500 0.500
Ge1 0.500 0.500 0.860
Ge2 0.500 0.500 0.140
La1 0.000 0.000 0.500
Th1 0.000 0.000 0.000

**Density of states at the Fermi level**: 3.259 states/eV/f.u.
**SG**: P4/mmm
**Energy of formation from the pure elements**: -767 kJ/mol of formula units
**Volume**: 19.464 A^3/atom

# 8
Material: La2ThGe3Pt12
Method: DFT, GGA-PBE
State: optimized geometry

Lattice parameters (Å, degrees): 7.998 7.998 7.998 63.19 63.19 63.19
Fractional positions:
Ge1 0.500 0.000 0.000
Ge2 0.000 0.000 0.500
Ge3 0.000 0.500 0.000
Pt1 0.900 0.357 0.357
Pt2 0.405 0.852 0.852
Pt3 0.148 0.595 0.148
Pt4 0.357 0.900 0.357
Pt5 0.148 0.148 0.595
Pt6 0.357 0.357 0.900
Pt7 0.100 0.643 0.643
Pt8 0.852 0.405 0.852
Pt9 0.595 0.148 0.148
Pt10 0.643 0.100 0.643
Pt11 0.643 0.643 0.100
Pt12 0.852 0.852 0.405
Th1 0.000 0.000 0.000
La1 0.599 0.599 0.599
La2 0.401 0.401 0.401

**Density of states at the Fermi level**: 8.241 states/eV/f.u.
**SG**: R-3m
**Energy of formation from the pure elements**: -787 kJ/mol of formula units
**Volume**: 21.523 A^3/atom